Record 1
The following is a GGA-PBE calculation of a geometry-optimized Au2C structure, from Alexandria via LeMat-Bulk.

Calculated values
Crystal system ... trigonal
E above lowest polymorph ... 0.5494 eV/atom
E_form ... 1.400 eV per atom
Symmetry ... No. 162
N(E_F) ... 5.26 states/eV per cell

Lattice parameters (Å, degrees): 5.4990 5.4990 5.2758 90.00 90.00 120.00
Closest atoms and distances in Å follow each position.
Atoms (fractional coordinates):
Au (0.0000, 0.3328, 0.2372)  3 C 2.22-2.30
Au (0.0000, 0.6672, 0.7628)  3 C 2.22-2.30
Au (0.3328, 0.0000, 0.2372)  3 C 2.22-2.30
Au (0.3328, 0.3328, 0.7628)  3 C 2.22-2.30
Au (0.6672, 0.0000, 0.7628)  3 C 2.22-2.30
Au (0.6672, 0.6672, 0.2372)  3 C 2.22-2.30
C (0.0000, 0.0000, 0.0000)  6 Au 2.22
C (0.3333, 0.6667, 0.5000)  6 Au 2.30
C (0.6667, 0.3333, 0.5000)  6 Au 2.30

---

Record 2
The following is a GGA-PBE calculation of a geometry-optimized Au5C3 structure, from Alexandria via LeMat-Bulk.

Calculated values
Crystal system ... hexagonal
E above lowest polymorph ... 0.0000 eV/atom
E_form ... 1.514 eV per atom
Symmetry ... No. 193
N(E_F) ... 6.01 states/eV per cell

Lattice parameters (Å, degrees): 6.0887 6.0887 7.9746 90.00 90.00 120.00
Closest atoms and distances in Å follow each position.
Atoms (fractional coordinates):
Au (0.0000, 0.2676, 0.2500)  3 C 2.08-2.11
Au (0.0000, 0.7324, 0.7500)  3 C 2.08-2.11
Au (0.2676, 0.0000, 0.2500)  3 C 2.08-2.11
Au (0.2676, 0.2676, 0.7500)  3 C 2.08-2.11
Au (0.3333, 0.6667, 0.0000)  6 C 2.74, 6 Au 3.01
Au (0.3333, 0.6667, 0.5000)  6 C 2.74, 6 Au 3.01
Au (0.6667, 0.3333, 0.0000)  6 C 2.74, 6 Au 3.01
Au (0.6667, 0.3333, 0.5000)  6 C 2.74, 6 Au 3.01
Au (0.7324, 0.0000, 0.7500)  3 C 2.08-2.11
Au (0.7324, 0.7324, 0.2500)  3 C 2.08-2.11
C (0.0000, 0.3914, 0.7500)  3 Au 2.08-2.11
C (0.0000, 0.6086, 0.2500)  3 Au 2.08-2.11
C (0.3914, 0.0000, 0.7500)  3 Au 2.08-2.11
C (0.3914, 0.3914, 0.2500)  3 Au 2.08-2.11
C (0.6086, 0.0000, 0.2500)  3 Au 2.08-2.11
C (0.6086, 0.6086, 0.7500)  3 Au 2.08-2.11

---

Record 3
The following is a GGA-PBE calculation of a geometry-optimized Au2C3 structure, from Alexandria via LeMat-Bulk.

Calculated values
Crystal system ... orthorhombic
E above lowest polymorph ... 0.0000 eV/atom
E_form ... 1.012 eV per atom
Symmetry ... No. 70
N(E_F) ... 2.61 states/eV per cell

Lattice parameters (Å, degrees): 9.8684 8.6791 6.1929 81.28 60.38 38.34
Closest atoms and distances in Å follow each position.
Atoms (fractional coordinates):
Au (0.1251, 0.1251, 0.6249)  2 C 2.03
Au (0.3751, 0.3751, 0.8749)  2 C 2.03
Au (0.6249, 0.6249, 0.1251)  2 C 2.03
Au (0.8749, 0.8749, 0.3751)  2 C 2.03
C (0.0066, 0.2434, 0.0066)  1 C 1.30
C (0.1250, 0.1250, 0.1250)  2 C 1.30
C (0.2434, 0.0066, 0.2434)  1 C 1.30
C (0.7566, 0.9934, 0.7566)  1 C 1.30
C (0.8750, 0.8750, 0.8750)  2 C 1.30
C (0.9934, 0.7566, 0.9934)  1 C 1.30

---

Record 4
The following is a GGA-PBE calculation of a geometry-optimized Au2C structure, from Alexandria via LeMat-Bulk.

Calculated values
Crystal system ... monoclinic
E above lowest polymorph ... 0.3940 eV/atom
E_form ... 1.245 eV per atom
Symmetry ... No. 5
N(E_F) ... 1.58 states/eV per cell

Lattice parameters (Å, degrees): 4.8585 9.5701 2.9422 90.00 124.76 90.00
Closest atoms and distances in Å follow each position.
Atoms (fractional coordinates):
Au (0.0000, 0.0000, 0.0000)  1 C 2.03
Au (0.0000, 0.2555, 0.5000)  2 C 2.02
Au (0.5000, 0.5000, 0.0000)  1 C 2.03
Au (0.5000, 0.7555, 0.5000)  2 C 2.02
C (0.0000, 0.7880, 0.0000)  3 Au 2.02-2.03
C (0.5000, 0.2880, 0.0000)  3 Au 2.02-2.03

---

Record 5
The following is a GGA-PBE calculation of a geometry-optimized AuC structure, from Alexandria via LeMat-Bulk.

Calculated values
Crystal system ... tetragonal
E above lowest polymorph ... 1.5253 eV/atom
E_form ... 1.808 eV per atom
Symmetry ... No. 87
N(E_F) ... 6.10 states/eV per cell

Lattice parameters (Å, degrees): 8.3398 8.3398 3.7522 90.00 90.00 90.00
Closest atoms and distances in Å follow each position.
Atoms (fractional coordinates):
Au (0.0790, 0.2629, 0.0000)  4 C 2.10-2.16
Au (0.2371, 0.5790, 0.5000)  4 C 2.10-2.16
Au (0.2629, 0.9210, 0.0000)  4 C 2.10-2.16
Au (0.4210, 0.2371, 0.5000)  4 C 2.10-2.16
Au (0.5790, 0.7629, 0.5000)  4 C 2.10-2.16
Au (0.7371, 0.0790, 0.0000)  4 C 2.10-2.16
Au (0.7629, 0.4210, 0.5000)  4 C 2.10-2.16
Au (0.9210, 0.7371, 0.0000)  4 C 2.10-2.16
C (0.1662, 0.6806, 0.0000)  4 Au 2.10-2.16
C (0.1806, 0.3338, 0.5000)  4 Au 2.10-2.16
C (0.3194, 0.1662, 0.0000)  4 Au 2.10-2.16
C (0.3338, 0.8194, 0.5000)  4 Au 2.10-2.16
C (0.6662, 0.1806, 0.5000)  4 Au 2.10-2.16
C (0.6806, 0.8338, 0.0000)  4 Au 2.10-2.16
C (0.8194, 0.6662, 0.5000)  4 Au 2.10-2.16
C (0.8338, 0.3194, 0.0000)  4 Au 2.10-2.16

---

Record 6
The following is a GGA-PBE calculation of a geometry-optimized AuC structure, from Alexandria via LeMat-Bulk.

Calculated values
Crystal system ... orthorhombic
E above lowest polymorph ... 1.6562 eV/atom
E_form ... 1.939 eV per atom
Symmetry ... No. 70
N(E_F) ... 3.97 states/eV per cell

Lattice parameters (Å, degrees): 7.5270 6.1449 5.7858 78.17 53.04 48.79
Closest atoms and distances in Å follow each position.
Atoms (fractional coordinates):
Au (0.0345, 0.0345, 0.7155)  4 C 2.07-2.22
Au (0.2845, 0.2845, 0.9655)  4 C 2.07-2.22
Au (0.7155, 0.7155, 0.0345)  4 C 2.07-2.22
Au (0.9655, 0.9655, 0.2845)  4 C 2.07-2.22
C (0.0075, 0.7425, 0.0075)  4 Au 2.07-2.22
C (0.2575, 0.9925, 0.2575)  4 Au 2.07-2.22
C (0.7425, 0.0075, 0.7425)  4 Au 2.07-2.22
C (0.9925, 0.2575, 0.9925)  4 Au 2.07-2.22